(1)
Material: SrHPb2F
Method: DFT, SCAN
State: single point on PBEsol structure

Unit cell a=4.740 b=4.740 c=5.847 alpha=90.00 beta=90.00 gamma=90.00
Space group P4/mmm (No. 123)
Symmetry-distinct sites (fractional):
Sr 0.000 0.000 0.000 x1
H 0.500 0.500 0.000 x1
Pb 0.000 0.500 0.500 x2
F 0.500 0.500 0.500 x1

Values from the calculation:
Electronic total energy, eV/atom: -36.60
Magnetization, μB/cell: 0.000
Density, g/cm3: 6.60

(2)
Material: HRu2PtF
Method: DFT, SCAN
State: single point on PBEsol structure

Unit cell a=3.879 b=3.879 c=4.747 alpha=90.00 beta=90.00 gamma=90.00
Space group P4/mmm (No. 123)
Symmetry-distinct sites (fractional):
H 0.000 0.000 0.000 x1
Ru 0.000 0.500 0.500 x2
Pt 0.500 0.500 0.000 x1
F 0.500 0.500 0.500 x1

Values from the calculation:
Electronic total energy, eV/atom: -27.69
Magnetization, μB/cell: 2.865
Density, g/cm3: 9.70

(3)
Material: H2PtSF
Method: DFT, SCAN
State: single point on PBEsol structure

Unit cell a=3.236 b=3.236 c=6.586 alpha=90.00 beta=90.00 gamma=90.00
Space group P4/mmm (No. 123)
Symmetry-distinct sites (fractional):
H 0.000 0.500 0.000 x2
Pt 0.000 0.000 0.500 x1
S 0.500 0.500 0.500 x1
F 0.000 0.000 0.000 x1

Values from the calculation:
Electronic total energy, eV/atom: -17.60
Magnetization, μB/cell: 0.000
Density, g/cm3: 5.98

(4)
Material: Rb3HF
Method: DFT, SCAN
State: single point on PBEsol structure

Unit cell a=5.572 b=5.572 c=5.572 alpha=90.00 beta=90.00 gamma=90.00
Space group Pm-3m (No. 221)
Symmetry-distinct sites (fractional):
Rb 0.000 0.000 0.500 x3
H 0.000 0.000 0.000 x1
F 0.500 0.500 0.500 x1

Values from the calculation:
Electronic total energy, eV/atom: -14.57
Magnetization, μB/cell: 0.000
Density, g/cm3: 2.65

(5)
Material: RbHF2
Method: DFT, SCAN
State: single point on PBEsol structure

Unit cell a=5.822 b=5.822 c=7.153 alpha=90.00 beta=90.00 gamma=90.00
Space group I4/mcm (No. 140)
Symmetry-distinct sites (fractional):
Rb 0.000 0.000 0.250 x4
H 0.000 0.500 0.000 x4
F 0.139 0.361 0.000 x8

Values from the calculation:
Electronic total energy, eV/atom: -10.20
Magnetization, μB/cell: 0.453
Density, g/cm3: 3.41

(6)
Material: ReHSe2F
Method: DFT, SCAN
State: single point on PBEsol structure

Unit cell a=4.771 b=4.771 c=4.062 alpha=90.00 beta=90.00 gamma=90.00
Space group P4/mmm (No. 123)
Symmetry-distinct sites (fractional):
Re 0.000 0.000 0.000 x1
H 0.500 0.500 0.500 x1
Se 0.000 0.500 0.000 x2
F 0.000 0.000 0.500 x1

Values from the calculation:
Electronic total energy, eV/atom: -23.40
Magnetization, μB/cell: 0.899
Density, g/cm3: 6.54

What is the formula in the fifth record? RbHF2